# 1
Entry from the Open Quantum Materials Database: a geometry-optimized SmInS3 structure (PBE).

Calculated values
Final energy   -5.21 eV per atom

abc: 7.8924 3.9793 13.5300
angles: 90.00 90.00 90.00
Space group Pnma (No. 62)
One atom of each set of equivalent atoms:
Sm 0.0972 0.2500 0.1699 x4
In 0.1631 0.7500 0.4417 x4
S 0.0259 0.7500 0.6205 x4
S 0.1451 0.7500 0.0134 x4
S 0.1759 0.2500 0.7820 x4

# 2
Entry from the Open Quantum Materials Database: a geometry-optimized SmTlInS3 structure (PBE).

Calculated values
Final energy   -4.70 eV per atom

abc: 4.1228 14.5218 11.2036
angles: 90.00 90.00 90.00
Space group Cmcm (No. 63)
One atom of each set of equivalent atoms:
Sm 0.0000 0.0000 0.0000 x4
Tl 0.0000 0.3036 0.2500 x4
In 0.0000 0.3880 0.7500 x4
S 0.0000 0.0108 0.7500 x4
S 0.0000 0.3695 0.5161 x8

Please write out number 1 again, unchanged.
Entry from the Open Quantum Materials Database: a geometry-optimized SmInS3 structure (PBE).

Calculated values
Final energy   -5.21 eV per atom

abc: 7.8924 3.9793 13.5300
angles: 90.00 90.00 90.00
Space group Pnma (No. 62)
One atom of each set of equivalent atoms:
Sm 0.0972 0.2500 0.1699 x4
In 0.1631 0.7500 0.4417 x4
S 0.0259 0.7500 0.6205 x4
S 0.1451 0.7500 0.0134 x4
S 0.1759 0.2500 0.7820 x4

Among the records above, which one has the lowest final energy? SmInS3

Which value of final energy does entry 2 give? -4.70 eV per atom

Which value of final energy does entry 2 give? -4.70 eV per atom